1.
# GGA-PBE YZnAs2, relaxed
data_YZnAs2
_space_group_name_H-M_alt 'I m m 2'
_space_group_IT_number 44
_cell_length_a 4.010
_cell_length_b 4.016
_cell_length_c 10.107
_cell_angle_alpha 90.00
_cell_angle_beta 90.00
_cell_angle_gamma 90.00
loop_
_space_group_symop_operation_xyz
'x,y,z'
'-x,-y,z'
'-x,y,z'
'x,-y,z'
'x+1/2,y+1/2,z+1/2'
'-x+1/2,-y+1/2,z+1/2'
'-x+1/2,y+1/2,z+1/2'
'x+1/2,-y+1/2,z+1/2'
loop_
_atom_site_label
_atom_site_type_symbol
_atom_site_fract_x
_atom_site_fract_y
_atom_site_fract_z
Y1 Y 0.000 0.000 0.000
Zn1 Zn 0.000 0.500 0.250
As1 As 0.000 0.000 0.500
As2 As 0.000 0.500 0.751
# - DOS(E_F) (states/eV/atom) = 0.555
# - V (Å³/cell) = 162.8
# - theoretical density (g cm⁻³) = 6.21
# - ΔH_f (0 K) (eV per atom) = -0.552
# - calculated total energy (eV/atom) = -4.811
# - magnetic moment (Bohr magnetons per cell) = 0.00

---

2.
# GGA-PBE YZn4As, relaxed
data_YZn4As
_space_group_name_H-M_alt 'F -4 3 m'
_space_group_IT_number 216
_space_group_name_Hall 'F -4 2 3'
_cell_length_a 7.611
_cell_length_b 7.611
_cell_length_c 7.611
_cell_angle_alpha 90.00
_cell_angle_beta 90.00
_cell_angle_gamma 90.00
loop_
_atom_site_label
_atom_site_type_symbol
_atom_site_fract_x
_atom_site_fract_y
_atom_site_fract_z
Y1 Y 0.000 0.000 0.000
Zn1 Zn 0.125 0.125 0.625
As1 As 0.250 0.250 0.250
# - DOS(E_F) (states/eV/atom) = 0.424
# - V (Å³/cell) = 440.9
# - theoretical density (g cm⁻³) = 6.41
# - ΔH_f (0 K) (eV per atom) = -0.126
# - calculated total energy (eV/atom) = -2.828
# - magnetic moment (Bohr magnetons per cell) = 0.00

---

3.
# GGA-PBE Y2ZnAs, relaxed
data_Y2ZnAs
_space_group_name_H-M_alt 'I 4/m m m'
_space_group_IT_number 139
_space_group_name_Hall '-I 4 2'
_cell_length_a 4.726
_cell_length_b 4.726
_cell_length_c 8.077
_cell_angle_alpha 90.00
_cell_angle_beta 90.00
_cell_angle_gamma 90.00
loop_
_atom_site_label
_atom_site_type_symbol
_atom_site_fract_x
_atom_site_fract_y
_atom_site_fract_z
Y1 Y 0.000 0.500 0.250
Zn1 Zn 0.000 0.000 0.000
As1 As 0.000 0.000 0.500
# - DOS(E_F) (states/eV/atom) = 0.791
# - V (Å³/cell) = 180.4
# - theoretical density (g cm⁻³) = 5.86
# - ΔH_f (0 K) (eV per atom) = -0.634
# - calculated total energy (eV/atom) = -5.347
# - magnetic moment (Bohr magnetons per cell) = 0.00
# - energy relative to the lowest polymorph listed for this composition (eV/f.u.) = 0.95